[1]
# TbTmCoAg | the Alexandria database | GGA-PBE | relaxed
data_TbTmCoAg
_symmetry_space_group_name_H-M 'F -4 3 m'
_symmetry_Int_Tables_number 216
_symmetry_space_group_name_Hall 'F -4 2 3'
_cell_length_a 6.955
_cell_length_b 6.955
_cell_length_c 6.955
_cell_angle_alpha 90.00
_cell_angle_beta 90.00
_cell_angle_gamma 90.00
loop_
_atom_site_label
_atom_site_type_symbol
_atom_site_fract_x
_atom_site_fract_y
_atom_site_fract_z
Tb1 Tb 0.000 0.000 0.000
Tm1 Tm 0.000 0.000 0.500
Co1 Co 0.250 0.250 0.750
Ag1 Ag 0.250 0.250 0.250
# - Distance to the lowest polymorph of the same formula: 0.066 eV per atom
# - ΔE_f: -0.192 eV per atom
# - VASP energy: -4.96 eV/atom

[2]
# Al2FeRh | the Alexandria database | GGA-PBE | relaxed
data_Al2FeRh
_symmetry_space_group_name_H-M 'F m -3 m'
_symmetry_Int_Tables_number 225
_symmetry_space_group_name_Hall '-F 4 2 3'
_cell_length_a 5.879
_cell_length_b 5.879
_cell_length_c 5.879
_cell_angle_alpha 90.00
_cell_angle_beta 90.00
_cell_angle_gamma 90.00
loop_
_atom_site_label
_atom_site_type_symbol
_atom_site_fract_x
_atom_site_fract_y
_atom_site_fract_z
Al1 Al 0.250 0.250 0.250
Fe1 Fe 0.000 0.000 0.000
Rh1 Rh 0.000 0.000 0.500
# - ΔE_f: -0.691 eV per atom
# - VASP energy: -6.52 eV/atom

[3]
# LiTaOs2 | the Alexandria database | GGA-PBE | relaxed
data_LiTaOs2
_symmetry_space_group_name_H-M 'F -4 3 m'
_symmetry_Int_Tables_number 216
_symmetry_space_group_name_Hall 'F -4 2 3'
_cell_length_a 6.173
_cell_length_b 6.173
_cell_length_c 6.173
_cell_angle_alpha 90.00
_cell_angle_beta 90.00
_cell_angle_gamma 90.00
loop_
_atom_site_label
_atom_site_type_symbol
_atom_site_fract_x
_atom_site_fract_y
_atom_site_fract_z
Li1 Li 0.000 0.000 0.000
Ta1 Ta 0.250 0.250 0.750
Os1 Os 0.000 0.000 0.500
Os2 Os 0.250 0.250 0.250
# - ΔE_f: 0.180 eV per atom
# - VASP energy: -8.88 eV/atom

[4]
# YBeTl | the Alexandria database | GGA-PBE | relaxed
data_YBeTl
_symmetry_space_group_name_H-M 'C 1 2/m 1'
_symmetry_Int_Tables_number 12
_cell_length_a 11.039
_cell_length_b 4.127
_cell_length_c 7.146
_cell_angle_alpha 90.00
_cell_angle_beta 128.75
_cell_angle_gamma 90.00
loop_
_symmetry_equiv_pos_as_xyz
'x,y,z'
'-x,-y,-z'
'-x,y,-z'
'x,-y,z'
'x+1/2,y+1/2,z'
'-x+1/2,-y+1/2,-z'
'-x+1/2,y+1/2,-z'
'x+1/2,-y+1/2,z'
loop_
_atom_site_label
_atom_site_type_symbol
_atom_site_fract_x
_atom_site_fract_y
_atom_site_fract_z
Y1 Y 0.069 0.000 0.321
Be1 Be 0.122 0.500 0.663
Tl1 Tl 0.192 0.500 0.108
# - Distance to the lowest polymorph of the same formula: 0.000 eV per atom
# - ΔE_f: -0.119 eV per atom
# - VASP energy: -4.30 eV/atom

Number 1: Fermi-level density of states 0.73 states/eV per atom. Number 2: Fermi-level density of states 0.67 states/eV per atom. Number 3: Fermi-level density of states 1.09 states/eV per atom. Number 4: Fermi-level density of states 0.74 states/eV per atom.